Compound: Y4Mg3Ga
Source: Alexandria
Functional: PBE
Structure: optimized geometry

Output
electronic total energy: -4.44 eV per atom
D(E_F): 1.10 states/eV per atom
formation energy from the elements: -0.236 eV per atom

abc: 3.7052 3.7052 15.2855
angles: 90.00 90.00 90.00
Element x y z (fractional)
Y: 0.0000 0.0000 0.1124
Y: 0.0000 0.0000 0.3696
Y: 0.0000 0.0000 0.8876
Y: 0.0000 0.0000 0.6304
Ga: 0.5000 0.5000 0.0000
Mg: 0.5000 0.5000 0.7567
Mg: 0.5000 0.5000 0.2433
Mg: 0.5000 0.5000 0.5000


Compound: YMgGa
Source: Alexandria
Functional: PBE
Structure: optimized geometry

Output
electronic total energy: -3.86 eV per atom
D(E_F): 0.14 states/eV per atom
formation energy from the elements: -0.165 eV per atom
excess energy over the best structure of this formula in the dataset: 0.354 eV per atom

abc: 8.5443 6.1684 5.0055
angles: 90.00 90.00 90.00
Element x y z (fractional)
Y: 0.8351 0.2500 0.4999
Y: 0.6649 0.7500 0.9999
Y: 0.3351 0.2500 0.0001
Y: 0.1649 0.7500 0.5001
Mg: 0.1713 0.2500 0.5001
Mg: 0.6713 0.2500 0.9999
Mg: 0.3287 0.7500 0.0001
Mg: 0.8287 0.7500 0.4999
Ga: 0.5000 0.5000 0.5000
Ga: 0.0000 0.0000 0.0000
Ga: 0.5000 0.0000 0.5000
Ga: 0.0000 0.5000 0.0000


Compound: YMgGa
Source: Alexandria
Functional: PBE
Structure: optimized geometry

Output
electronic total energy: -4.07 eV per atom
D(E_F): 0.72 states/eV per atom
formation energy from the elements: -0.373 eV per atom
excess energy over the best structure of this formula in the dataset: 0.146 eV per atom

abc: 4.0281 4.2467 10.6663
angles: 126.65 90.03 90.00
Element x y z (fractional)
Y: 0.4328 0.1112 0.9217
Y: 0.9322 0.5783 0.5657
Ga: 0.9327 0.4801 0.8343
Ga: 0.4325 0.2095 0.6531
Mg: 0.9324 0.9680 0.1595
Mg: 0.4316 0.7212 0.3278


Compound: Y2Mg3Ga4
Source: Alexandria
Functional: PBE
Structure: optimized geometry

Output
electronic total energy: -3.68 eV per atom
D(E_F): 0.60 states/eV per atom
formation energy from the elements: -0.369 eV per atom

abc: 6.0410 7.6714 8.7962
angles: 90.00 110.08 90.00
Element x y z (fractional)
Y: 0.0977 0.5980 0.1954
Y: 0.5977 0.9020 0.1954
Y: 0.4023 0.0980 0.8046
Y: 0.9023 0.4020 0.8046
Ga: 0.1648 0.9777 0.3296
Ga: 0.8352 0.0223 0.6704
Ga: 0.6837 0.7500 0.8675
Ga: 0.1837 0.7500 0.8675
Ga: 0.8163 0.2500 0.1325
Ga: 0.3352 0.4777 0.6704
Ga: 0.3163 0.2500 0.1325
Ga: 0.6648 0.5223 0.3296
Mg: 0.0153 0.7500 0.5306
Mg: 0.9847 0.2500 0.4694
Mg: 0.5153 0.7500 0.5306
Mg: 0.5000 0.5000 0.0000
Mg: 0.4847 0.2500 0.4694
Mg: 0.0000 0.0000 0.0000


Compound: Y4MgGa12
Source: Alexandria
Functional: PBE
Structure: optimized geometry

Output
electronic total energy: -4.26 eV per atom
D(E_F): 0.34 states/eV per atom
formation energy from the elements: -0.504 eV per atom

abc: 7.5898 7.5898 7.5898
angles: 109.47 109.47 109.47
Element x y z (fractional)
Ga: 0.7500 0.5000 0.2500
Ga: 0.2500 0.5000 0.7500
Ga: 0.3111 0.3111 0.0000
Ga: 0.5000 0.7500 0.2500
Ga: 0.5000 0.2500 0.7500
Ga: 0.3111 0.0000 0.3111
Ga: 0.6889 0.6889 0.0000
Ga: 0.0000 0.3111 0.3111
Ga: 0.0000 0.6889 0.6889
Ga: 0.6889 0.0000 0.6889
Ga: 0.2500 0.7500 0.5000
Ga: 0.7500 0.2500 0.5000
Y: 0.0000 0.5000 0.0000
Y: 0.0000 0.0000 0.5000
Y: 0.5000 0.5000 0.5000
Y: 0.5000 0.0000 0.0000
Mg: 0.0000 0.0000 0.0000


Compound: Y3Mg2Ga
Source: Alexandria
Functional: PBE
Structure: optimized geometry

Output
electronic total energy: -4.55 eV per atom
D(E_F): 1.00 states/eV per atom
formation energy from the elements: -0.278 eV per atom

abc: 5.2461 5.2461 6.4488
angles: 90.00 90.00 120.00
Element x y z (fractional)
Y: 0.6667 0.3333 0.8452
Y: 0.3333 0.6667 0.1548
Y: 0.0000 0.0000 0.5000
Mg: 0.6667 0.3333 0.3506
Mg: 0.3333 0.6667 0.6494
Ga: 0.0000 0.0000 0.0000


Question: What is the formation energy from the elements in the sixth record?
Answer: -0.278 eV per atom